# 1
Compound: Sc3Br
Source: Alexandria via LeMat-Bulk
Functional: PBE
Structure: optimized geometry

Computed properties:
ΔE to the lowest computed polymorph (meV/atom): 282.4
ρ (Mg/m³): 3.8
E_form (uncorrected) (eV/atom): -0.20
E (eV/atom): -5.3626

a b c (Å): 4.852 3.466 5.927
angles (deg): 71.62 90.00 90.00
Fractional positions:
Br 0.000 0.000 0.000
Sc 0.500 0.891 0.758
Sc 0.000 0.500 0.500
Sc 0.500 0.109 0.242

=====

# 2
Compound: ScBr5
Source: Alexandria via LeMat-Bulk
Functional: PBE
Structure: optimized geometry

Computed properties:
ΔE to the lowest computed polymorph (meV/atom): 680.9
ρ (Mg/m³): 3.5
E_form (uncorrected) (eV/atom): -0.21
E (eV/atom): -2.6578

a b c (Å): 5.511 5.511 7.920
angles (deg): 90.00 90.00 120.00
Last column: magnetic moment on the atom in μB.
Fractional positions:
Sc 0.000 0.000 0.000  0.60
Br 0.333 0.667 0.000  -0.03
Br 0.667 0.333 0.000  -0.03
Br 0.500 0.000 0.500  0.00
Br 0.000 0.500 0.500  0.00
Br 0.500 0.500 0.500  0.00

=====

# 3
Compound: ScBr5
Source: Alexandria via LeMat-Bulk
Functional: PBE
Structure: optimized geometry

Computed properties:
ΔE to the lowest computed polymorph (meV/atom): 0.0
ρ (Mg/m³): 3.7
E_form (uncorrected) (eV/atom): -0.89
E (eV/atom): -3.3387

a b c (Å): 8.124 8.124 8.607
angles (deg): 53.22 53.22 26.08
Fractional positions:
Sc 0.346 0.346 0.965
Br 0.964 0.964 0.017
Br 0.294 0.294 0.356
Br 0.630 0.630 0.671
Br 0.688 0.688 0.146
Br 0.912 0.912 0.678

=====

# 4
Compound: ScBr
Source: Alexandria via LeMat-Bulk
Functional: PBE
Structure: optimized geometry

Computed properties:
ρ (Mg/m³): 4.0
E_form (uncorrected) (eV/atom): -0.16
E (eV/atom): -4.1610

a b c (Å): 5.269 5.269 5.269
angles (deg): 60.00 60.00 60.00
Last column: magnetic moment on the atom in μB.
Fractional positions:
Br 0.000 0.000 0.000  0.04
Br 0.250 0.250 0.250  0.04
Sc 0.500 0.500 0.500  1.18
Sc 0.750 0.750 0.750  1.18

=====

# 5
Compound: ScBr
Source: Alexandria via LeMat-Bulk
Functional: PBE
Structure: optimized geometry

Computed properties:
ρ (Mg/m³): 3.8
E_form (uncorrected) (eV/atom): -0.86
E (eV/atom): -4.8660

a b c (Å): 10.220 10.220 3.596
angles (deg): 90.00 90.00 120.00
Last column: magnetic moment on the atom in μB.
Fractional positions:
Sc 0.633 0.141 0.250  0.46
Sc 0.492 0.633 0.750  0.46
Sc 0.859 0.492 0.250  0.46
Sc 0.367 0.859 0.750  0.46
Sc 0.507 0.367 0.250  0.46
Sc 0.141 0.507 0.750  0.46
Br 0.955 0.285 0.250  0.01
Br 0.671 0.955 0.750  0.01
Br 0.715 0.671 0.250  0.01
Br 0.045 0.715 0.750  0.01
Br 0.329 0.045 0.250  0.01
Br 0.285 0.329 0.750  0.01

=====

# 6
Compound: ScBr
Source: Alexandria via LeMat-Bulk
Functional: PBE
Structure: optimized geometry

Computed properties:
ρ (Mg/m³): 4.9
E_form (uncorrected) (eV/atom): -0.86
E (eV/atom): -4.8596

a b c (Å): 3.438 3.438 8.343
angles (deg): 90.00 90.00 120.00
Fractional positions:
Br 0.333 0.667 0.250
Br 0.667 0.333 0.750
Sc 0.000 0.000 0.000
Sc 0.000 0.000 0.500

=====

The records above give, respectively, N(E_F) values of 1.053; 0.910; 0.369; 0.559; 0.982; 0.302 states/eV per atom.